A plane-wave DFT calculation with GGA-PBE was carried out for crystalline LuPaOs at its relaxed geometry. Values from VASP.

Quantum ESPRESSO input file:
```
&SYSTEM
  ibrav = 0, nat = 3, ntyp = 3
/
ATOMIC_SPECIES
Lu 174.97 Lu.upf
Pa 231.04 Pa.upf
Os 190.23 Os.upf
ATOMIC_POSITIONS angstrom
Lu 0.000 0.000 0.000
Pa 0.000 0.000 3.211
Os 0.000 0.000 7.336
CELL_PARAMETERS angstrom
-1.751 1.751 5.435
1.751 -1.751 5.435
1.751 1.751 -5.435
```

- formation enthalpy at 0 K (eV per atom) = -0.207
- calculated total energy (eV per atom) = -8.623
- energy above the most stable polymorph in this dataset (meV/atom) = 0
- D(E_F) (states/eV/cell) = 2.6


A plane-wave DFT calculation with GGA-PBE was carried out for crystalline BeRe2Tc at its relaxed geometry. Values from VASP.

Quantum ESPRESSO input file:
```
&SYSTEM
  ibrav = 0, nat = 4, ntyp = 3
/
ATOMIC_SPECIES
Be 9.01 Be.upf
Re 186.21 Re.upf
Tc 98.00 Tc.upf
ATOMIC_POSITIONS angstrom
Be 0.000 0.000 0.000
Re 0.854 2.113 1.268
Re 0.854 -2.113 1.268
Tc 2.585 0.000 0.000
CELL_PARAMETERS angstrom
2.585 -4.226 0.000
2.585 4.226 0.000
-0.878 0.000 2.536
```

- formation enthalpy at 0 K (eV per atom) = 0.212
- calculated total energy (eV per atom) = -9.535
- D(E_F) (states/eV/cell) = 3.5


A plane-wave DFT calculation with GGA-PBE was carried out for crystalline CsCuP2S8 at its relaxed geometry. Values from VASP.

Quantum ESPRESSO input file:
```
&SYSTEM
  ibrav = 0, nat = 12, ntyp = 4
/
ATOMIC_SPECIES
Cs 132.91 Cs.upf
Cu 63.55 Cu.upf
P 30.97 P.upf
S 32.06 S.upf
ATOMIC_POSITIONS angstrom
Cs 0.000 0.000 0.000
Cu 0.000 0.000 5.915
P 0.000 3.175 8.275
P 2.749 1.587 3.555
S -1.703 3.218 4.365
S 0.814 1.678 4.365
S 0.000 3.175 10.255
S 1.861 0.134 7.464
S 0.889 4.628 4.365
S 2.749 1.587 1.574
S 1.935 3.084 7.464
S 4.452 1.544 7.464
CELL_PARAMETERS angstrom
5.499 0.000 0.000
-2.749 4.762 0.000
0.000 0.000 11.829
```

- calculated total energy (eV per atom) = -4.214
- D(E_F) (states/eV/cell) = 6.2
- uncorrected formation energy (eV per formula unit) = -1.785


A plane-wave DFT calculation with GGA-PBE was carried out for crystalline NaDyAgSe2 at its relaxed geometry. Values from VASP.

Quantum ESPRESSO input file:
```
&SYSTEM
  ibrav = 0, nat = 10, ntyp = 4
/
ATOMIC_SPECIES
Na 22.99 Na.upf
Dy 162.50 Dy.upf
Ag 107.87 Ag.upf
Se 78.96 Se.upf
ATOMIC_POSITIONS angstrom
Na -0.295 0.612 1.931
Na -0.886 4.379 5.794
Dy 2.657 2.466 5.794
Dy 3.248 2.525 1.931
Ag 3.543 0.000 0.000
Ag 2.953 0.000 3.862
Se 0.460 1.796 7.449
Se 1.051 3.195 3.587
Se 4.854 1.796 4.138
Se 5.445 3.195 0.276
CELL_PARAMETERS angstrom
7.087 0.000 0.000
0.000 4.991 0.000
-1.182 0.000 7.725
```

- calculated total energy (eV per atom) = -4.093
- D(E_F) (states/eV/cell) = 4.0
- uncorrected formation energy (eV per formula unit) = -4.724


A plane-wave DFT calculation with GGA-PBE was carried out for crystalline ScMo2Pt at its relaxed geometry. Values from VASP.

Quantum ESPRESSO input file:
```
&SYSTEM
  ibrav = 0, nat = 4, ntyp = 3
/
ATOMIC_SPECIES
Sc 44.96 Sc.upf
Mo 95.94 Mo.upf
Pt 195.08 Pt.upf
ATOMIC_POSITIONS angstrom
Sc 0.000 0.000 0.000
Mo 1.605 1.605 1.605
Mo 4.814 4.814 4.814
Pt 3.209 3.209 3.209
CELL_PARAMETERS angstrom
0.000 3.209 3.209
3.209 0.000 3.209
3.209 3.209 0.000
```

- formation enthalpy at 0 K (eV per atom) = 0.158
- calculated total energy (eV per atom) = -8.351
- energy above the most stable polymorph in this dataset (meV/atom) = 468
- D(E_F) (states/eV/cell) = 7.8


A plane-wave DFT calculation with GGA-PBE was carried out for crystalline YNiRu at its relaxed geometry. Values from VASP.

Quantum ESPRESSO input file:
```
&SYSTEM
  ibrav = 0, nat = 3, ntyp = 3
/
ATOMIC_SPECIES
Y 88.91 Y.upf
Ni 58.69 Ni.upf
Ru 101.07 Ru.upf
ATOMIC_POSITIONS angstrom
Y 0.000 0.000 0.000
Ni 1.534 1.534 1.534
Ru 3.068 3.068 3.068
CELL_PARAMETERS angstrom
0.000 3.068 3.068
3.068 0.000 3.068
3.068 3.068 0.000
```

- formation enthalpy at 0 K (eV per atom) = 0.178
- calculated total energy (eV per atom) = -6.996
- D(E_F) (states/eV/cell) = 5.0